DFT (GGA-PBE) results for PmErHgTe after structural relaxation.

The energy relative to the elements, uncorrected is -0.8649 eV per atom.

It has space group R3m (No. 160, hexagonal axes), with a = 4.1971 Å, b = 4.1971 Å, c = 23.3483 Å, α = 90.00°, β = 90.00° and γ = 120.00°. The asymmetric unit holds Pm at (0.0000, 0.0000, 0.0000), Er at (0.0000, 0.0000, 0.4994), Hg at (0.0000, 0.0000, 0.7529) and Te at (0.0000, 0.0000, 0.2463).